Entry 1:
VASP calculation (PBE-GGA) on a relaxed structure of BaBe2Cu.

Relative energy among the computed polymorphs: 259 meV/atom
DFT formation energy: 364 meV per atom

Geometry as extended XYZ:
```
8
Lattice="-3.524 -2.191 2.815 2.707 -4.219 0.106 2.832 -0.980 7.248" Properties=species:S:1:pos:R:3 pbc="T T T"
Be 1.079 -3.703 2.934
Ba 0.000 0.000 0.000
Cu 2.566 -4.202 4.407
Ba -0.550 -3.188 5.762
Be 0.733 -5.288 7.965
Be -0.275 -1.594 2.881
Cu -0.408 -3.205 1.460
Be 2.495 -4.194 6.558
```

***

Entry 2:
VASP calculation (PBE-GGA) on a relaxed structure of BaLa2InCo.

Relative energy among the computed polymorphs: 0 meV/atom
DFT formation energy: -154 meV per atom

Geometry as extended XYZ:
```
5
Lattice="-1.837 5.012 -1.005 -1.489 -1.547 -4.989 -4.790 -1.384 1.859" Properties=species:S:1:pos:R:3 pbc="T T T"
Co 0.000 0.000 0.000
In -2.395 -0.692 0.929
La -0.919 2.506 -0.503
Ba -4.059 1.041 -2.068
La -0.745 -0.773 -2.495
```

***

Entry 3:
VASP calculation (PBE-GGA) on a relaxed structure of Ce2FeGe6.

Relative energy among the computed polymorphs: 0 meV/atom
DFT formation energy: -473 meV per atom

Geometry as extended XYZ:
```
9
Lattice="5.227 -0.028 -0.016 0.033 6.089 0.007 0.033 3.040 5.277" Properties=species:S:1:pos:R:3 pbc="T T T"
Ge 1.589 6.079 1.824
Ge 1.605 7.543 4.365
Ce 4.162 6.064 3.509
Fe 0.000 0.000 0.000
Ce 1.132 3.037 1.758
Ge 3.705 4.490 0.905
Ge 3.689 1.558 0.902
Ge 3.705 3.022 3.443
Ge 1.589 4.611 4.362
```

***

Entry 4:
VASP calculation (PBE-GGA) on a relaxed structure of AlFeNi6.

Relative energy among the computed polymorphs: 340 meV/atom
DFT formation energy: 80 meV per atom

Geometry as extended XYZ:
```
8
Lattice="-0.700 -1.346 -3.961 2.117 -3.596 -0.762 -4.340 -4.562 0.614" Properties=species:S:1:pos:R:3 pbc="T T T"
Ni -1.363 -7.210 -2.149
Ni -1.561 -2.294 -1.960
Ni 0.551 -3.477 -2.931
Fe -1.462 -4.752 -2.055
Ni -3.475 -6.027 -1.179
Ni -0.225 -3.361 -0.443
Al 0.000 0.000 0.000
Ni -2.698 -6.144 -3.666
```

***

Entry 5:
VASP calculation (PBE-GGA) on a relaxed structure of BaTi2Co2.

Relative energy among the computed polymorphs: 0 meV/atom
DFT formation energy: 52 meV per atom

Geometry as extended XYZ:
```
5
Lattice="-3.857 -0.869 1.143 0.467 -3.857 -1.356 0.339 -4.073 5.458" Properties=species:S:1:pos:R:3 pbc="T T T"
Co -1.943 -5.943 3.744
Ti -0.444 -5.147 1.998
Co -1.107 -2.857 1.500
Ti -2.606 -3.653 3.247
Ba 0.000 0.000 0.000
```

***

Entry 6:
VASP calculation (PBE-GGA) on a relaxed structure of SrThAsP.

DFT formation energy: -1285 meV per atom

Geometry as extended XYZ:
```
4
Lattice="4.280 0.000 0.000 -2.139 3.707 0.000 -2.139 -1.236 7.349" Properties=species:S:1:pos:R:3 pbc="T T T"
P -1.735 3.436 0.665
As 0.405 -0.271 4.736
Th -1.735 0.964 6.460
Sr 2.544 0.965 2.614
```

***

Entry 7:
VASP calculation (PBE-GGA) on a relaxed structure of CaPm2NdY4.

DFT formation energy: 413 meV per atom

Geometry as extended XYZ:
```
16
Lattice="9.493 -0.039 -1.922 -0.046 9.492 -1.922 -5.945 -5.949 8.657" Properties=species:S:1:pos:R:3 pbc="T T T"
Nd 6.497 1.732 1.445
Pm 4.723 4.726 -1.922
Pm -2.973 -2.975 4.328
Y 4.144 -0.639 2.403
Ca 1.751 1.752 2.406
Y 2.347 7.101 -1.920
Nd -0.023 4.746 -0.961
Pm 1.774 -2.994 3.367
Y -3.509 -3.517 7.591
Y 1.155 -3.597 6.732
Pm 4.746 -0.020 -0.961
Ca 3.547 -5.989 6.735
Y 4.181 4.189 1.341
Y -0.643 4.143 2.409
Y -0.680 -0.686 3.472
Y 7.011 7.021 -2.779
```

***

Entry 8:
VASP calculation (PBE-GGA) on a relaxed structure of ErTmTeP.

Formation energy (no corrections): -1.483 eV/atom

Geometry as extended XYZ:
```
4
Lattice="-0.115 -0.036 4.023 0.524 -3.436 -2.029 6.986 2.126 -1.794" Properties=species:S:1:pos:R:3 pbc="T T T"
P 6.338 -0.051 -1.452
Er 1.007 -3.116 -1.632
Te 2.645 -0.571 2.464
Tm 4.617 0.878 0.520
```

***

Entry 9:
VASP calculation (PBE-GGA) on a relaxed structure of ThReTc.

Relative energy among the computed polymorphs: 119 meV/atom
DFT formation energy: 232 meV per atom

Geometry as extended XYZ:
```
6
Lattice="-1.321 0.522 -4.053 -1.853 -3.873 0.106 -4.470 4.639 4.329" Properties=species:S:1:pos:R:3 pbc="T T T"
Th -3.910 -1.325 -1.172
Th -4.344 1.339 1.588
Re -1.537 -0.036 0.496
Re -4.865 3.920 -0.186
Tc -1.231 -2.573 0.070
Tc -0.965 -0.374 -2.009
```

***

Entry 10:
VASP calculation (PBE-GGA) on a relaxed structure of RbNb3Ni.

Relative energy among the computed polymorphs: 1569 meV/atom
DFT formation energy: 2969 meV per atom

Geometry as extended XYZ:
```
5
Lattice="4.756 0.000 0.000 0.000 4.756 0.000 0.000 0.000 4.756" Properties=species:S:1:pos:R:3 pbc="T T T"
Nb 2.378 0.000 0.000
Nb 0.000 2.378 0.000
Ni 2.378 2.378 2.378
Nb 0.000 0.000 2.378
Rb 0.000 0.000 0.000
```

***

Entry 11:
VASP calculation (PBE-GGA) on a relaxed structure of ReAg3Mo.

Relative energy among the computed polymorphs: 0 meV/atom
DFT formation energy: 2174 meV per atom

Geometry as extended XYZ:
```
5
Lattice="5.016 0.000 0.000 0.000 5.016 0.000 0.000 0.000 5.016" Properties=species:S:1:pos:R:3 pbc="T T T"
Mo 2.508 2.508 2.508
Ag 2.508 0.000 0.000
Ag 0.000 2.508 0.000
Re 0.000 0.000 0.000
Ag 0.000 0.000 2.508
```

***

Entry 12:
VASP calculation (PBE-GGA) on a relaxed structure of KNa2CdGe.

DFT formation energy: -13 meV per atom

Geometry as extended XYZ:
```
5
Lattice="5.775 0.000 0.000 0.000 5.775 0.000 0.000 0.000 5.309" Properties=species:S:1:pos:R:3 pbc="T T T"
Na 2.888 0.000 0.000
K 2.888 2.888 2.655
Ge 0.000 0.000 0.000
Na 0.000 2.888 0.000
Cd 0.000 0.000 2.655
```

***

Entry 13:
VASP calculation (PBE-GGA) on a relaxed structure of CuAg5Se3.

Formation energy (no corrections): -0.009 eV/atom

Geometry as extended XYZ:
```
18
Lattice="-1.876 2.331 -4.695 5.895 -4.499 -1.288 -5.976 -7.341 -1.258" Properties=species:S:1:pos:R:3 pbc="T T T"
Ag 0.224 -4.310 -4.396
Cu -1.817 -1.434 -1.122
Cu -6.034 -3.576 -4.830
Ag -2.180 -5.199 -2.845
Ag -3.408 -7.179 -6.638
Se 0.000 0.000 0.000
Ag -4.794 -7.293 -3.928
Ag 1.452 -2.330 -0.603
Ag -5.080 -4.763 -2.440
Ag -2.419 -2.861 -4.834
Se 2.084 -4.510 -2.227
Ag 0.463 -6.648 -2.407
Se -2.988 -3.671 -0.629
Ag 2.838 -2.216 -3.313
Se -1.384 -7.584 -4.058
Ag -2.771 -0.247 -3.512
Se -4.040 -4.999 -5.014
Se -0.572 -1.925 -3.183
```